An optimized crystal structure of AlTe2P, computed with PBE.

Unit cell a=8.2160 b=8.2160 c=8.2160 alpha=152.92 beta=152.92 gamma=38.67
Atoms (fractional coordinates):
Al  0.0000  0.0000  0.0000
Te  0.5000  0.5000  0.0000
Te  0.7500  0.2500  0.5000
P  0.2500  0.7500  0.5000

Output
The uncorrected formation energy comes out at 287 meV per atom. The calculation puts the electronic total energy at -3.57 eV per atom. The energy above the most stable polymorph in this dataset comes out at 417.6 meV/atom. Its density of states at the Fermi level is 1.760 states/eV/f.u.

=====

An optimized crystal structure of AlTe2P, computed with PBE.

Unit cell a=5.0331 b=5.0331 c=4.0604 alpha=90.00 beta=90.00 gamma=107.68
Atoms (fractional coordinates):
Al  0.0000  0.0000  0.0000
Te  0.2480  0.7520  0.5000
Te  0.7520  0.2480  0.5000
P  0.5000  0.5000  0.0000

Output
The uncorrected formation energy comes out at 170 meV per atom. The calculation puts the electronic total energy at -3.69 eV per atom. The energy above the most stable polymorph in this dataset comes out at 299.9 meV/atom. Its density of states at the Fermi level is 2.384 states/eV/f.u.

=====

An optimized crystal structure of AlTe2P, computed with PBE.

Unit cell a=4.1013 b=4.1013 c=7.0226 alpha=106.34 beta=106.34 gamma=60.22
Atoms (fractional coordinates):
Al  0.0000  0.0000  0.0000
Te  0.2587  0.2587  0.7507
Te  0.7413  0.7413  0.2493
P  0.5000  0.5000  0.5000

Output
The uncorrected formation energy comes out at 96 meV per atom. The calculation puts the electronic total energy at -3.76 eV per atom. The energy above the most stable polymorph in this dataset comes out at 226.5 meV/atom. Its density of states at the Fermi level is 1.482 states/eV/f.u.

=====

An optimized crystal structure of AlZn2TeP, computed with PBE.

Unit cell a=5.1532 b=5.1532 c=5.3402 alpha=90.00 beta=90.00 gamma=90.00
Atoms (fractional coordinates):
Al  0.0000  0.0000  0.0000
Zn  0.0000  0.5000  0.5000
Zn  0.5000  0.0000  0.5000
Te  0.5000  0.5000  0.5000
P  0.5000  0.5000  0.0000

Output
The uncorrected formation energy comes out at 860 meV per atom. The calculation puts the electronic total energy at -2.11 eV per atom. Its density of states at the Fermi level is 2.730 states/eV/f.u.

=====

An optimized crystal structure of Zr2AlTeP, computed with PBE.

Unit cell a=5.3178 b=5.3178 c=4.9483 alpha=90.00 beta=90.00 gamma=90.00
Atoms (fractional coordinates):
Zr  0.0000  0.5000  0.0000
Zr  0.5000  0.0000  0.0000
Al  0.0000  0.0000  0.5000
Te  0.0000  0.0000  0.0000
P  0.5000  0.5000  0.5000

Output
The uncorrected formation energy comes out at 974 meV per atom. The calculation puts the electronic total energy at -4.90 eV per atom. Its density of states at the Fermi level is 5.758 states/eV/f.u.

=====

An optimized crystal structure of Th2AlP, computed with PBE.

Unit cell a=10.1189 b=10.1189 c=10.1189 alpha=21.65 beta=21.65 gamma=21.65
Atoms (fractional coordinates):
Th  0.1071  0.1071  0.1071
Th  0.8929  0.8929  0.8929
Al  0.0000  0.0000  0.0000
P  0.5000  0.5000  0.5000

Output
The energy of formation comes out at -0.22 eV/atom. The calculation puts the electronic total energy at -6.22 eV per atom. Its density of states at the Fermi level is 3.581 states/eV/f.u.